The following is a DFT calculation (GGA+U) of a relaxed FePbS2O8 crystal.

a b c (Å): 4.9007 4.9007 22.0179
angles (deg): 90.00 90.00 120.00
Space group R-3 (No. 148, hexagonal axes)
Unique sites:
1 Fe 0.0000 0.0000 0.0000 [3 per cell]
2 Pb 0.0000 0.0000 0.5000 [3 per cell]
3 S 0.0000 0.0000 0.2534 [6 per cell]
4 O 0.0000 0.0000 0.1851 [6 per cell]
5 O 0.0106 0.2947 0.7260 [18 per cell]

final energy	-6.119	eV/atom